Density functional theory data (PBE) for a geometry-optimized Li2NiRh structure.

```
data_Li2NiRh
_chemical_formula_sum 'Li2 Ni1 Rh1'
_cell_length_a 3.062
_cell_length_b 3.062
_cell_length_c 5.758
_cell_angle_alpha 90.00
_cell_angle_beta 90.00
_cell_angle_gamma 90.00
_symmetry_space_group_name_H-M 'P 4 m m'
_symmetry_Int_Tables_number 99
loop_
_symmetry_equiv_pos_as_xyz
'x,y,z'
'-y,x,z'
'-x,-y,z'
'y,-x,z'
'-x,y,z'
'y,x,z'
'x,-y,z'
'-y,-x,z'
loop_
_atom_site_label
_atom_site_type_symbol
_atom_site_fract_x
_atom_site_fract_y
_atom_site_fract_z
_atom_site_occupancy
Li1 Li 0.000 0.000 0.000 1
Li2 Li 0.500 0.500 0.273 1
Ni1 Ni 0.000 0.000 0.533 1
Rh1 Rh 0.500 0.500 0.734 1
```

D(E_F) = 4.32 states/eV/cell
Spin magnetization = 0.00 μB/f.u.
Energy of formation from the pure elements = 8 meV per atom



Density functional theory data (PBE) for a geometry-optimized Li6Ni2Rh structure.

```
data_Li6Ni2Rh
_chemical_formula_sum 'Li12 Ni4 Rh2'
_cell_length_a 4.472
_cell_length_b 8.088
_cell_length_c 7.359
_cell_angle_alpha 90.00
_cell_angle_beta 107.31
_cell_angle_gamma 90.00
_symmetry_space_group_name_H-M 'C 1 2/m 1'
_symmetry_Int_Tables_number 12
loop_
_symmetry_equiv_pos_as_xyz
'x,y,z'
'-x,-y,-z'
'-x,y,-z'
'x,-y,z'
'x+1/2,y+1/2,z'
'-x+1/2,-y+1/2,-z'
'-x+1/2,y+1/2,-z'
'x+1/2,-y+1/2,z'
loop_
_atom_site_label
_atom_site_type_symbol
_atom_site_fract_x
_atom_site_fract_y
_atom_site_fract_z
_atom_site_occupancy
Li1 Li 0.093 0.164 0.180 1
Li2 Li 0.183 0.500 0.364 1
Ni1 Ni 0.000 0.250 0.500 1
Rh1 Rh 0.000 0.500 0.000 1
```

D(E_F) = 6.55 states/eV/cell
Spin magnetization = 0.53 μB/f.u.
Energy of formation from the pure elements = 53 meV per atom